Entry from the Alexandria database: Rb3Ni2RhO6 after structural relaxation (GGA+U).

```
12
Lattice="-1.217 -5.298 -1.236 5.218 1.872 -0.589 -0.084 -0.503 6.416" Properties=species:S:1:pos:R:3 pbc="T T T"
Rb 4.087 0.407 2.509
Rb -0.170 -4.336 2.081
Rb 1.958 -1.965 2.295
Ni 3.071 -0.520 -0.805
Ni 0.930 -2.906 -1.020
Rh 0.000 0.000 0.000
O 2.048 -4.257 3.832
O 2.930 -2.604 -0.285
O 1.868 0.328 0.758
O 4.100 -1.971 4.039
O 0.986 -1.325 4.876
O -0.184 -1.958 0.552
```

Calculated values
E in eV for the cell shown: -56.78
V in Å³ per atom: 13.8
Total moment in μB/cell: 1.99